(1)
Entry from Alexandria via LeMat-Bulk: Co2SbRu at its PBEsol-relaxed geometry (SCAN).

Computed properties:
Calculated volume, A^3/atom: 14.31
Final energy, eV per atom: -26.14

The structure in POSCAR format:
```
Co2SbRu
1.0
-2.811 -0.495 0.615
-0.986 -2.740 0.219
0.391 -1.071 7.850
Sb Co Ru
1 2 1
Direct
0.252 0.252 0.243
0.006 0.006 0.982
0.746 0.746 0.761
0.495 0.495 0.514
```


(2)
Entry from Alexandria via LeMat-Bulk: Co2SbRu at its PBEsol-relaxed geometry (SCAN).

Computed properties:
Calculated volume, A^3/atom: 13.43
Final energy, eV per atom: -26.32

The structure in POSCAR format:
```
Co2SbRu
1.0
-1.647 0.771 2.234
-3.214 -2.817 -1.397
3.151 -2.844 1.447
Sb Co Ru
1 2 1
Direct
0.000 0.500 0.000
0.248 0.224 0.496
0.752 0.776 0.504
0.500 0.000 0.000
```